Compound: HoReTc
Source: Alexandria
Functional: PBE-GGA
Structure: relaxed

a b c (Å): 5.0923 5.0923 6.3566
angles (deg): 81.51 128.24 114.31
Last column: nearest neighbours and their distance in Å.
Atoms (fractional coordinates):
Ho 0.2516 0.6406 0.8923  2 Tc 2.80, 1 Ho 2.91, 2 Re 3.05
Ho 0.7484 0.3594 0.1077  2 Tc 2.80, 1 Ho 2.91, 2 Re 3.05
Tc 0.0000 0.0000 0.5000  2 Re 2.52, 2 Tc 2.76, 2 Ho 2.80
Tc 0.5000 0.5000 0.5000  2 Re 2.52, 2 Tc 2.76, 2 Ho 2.80
Re 0.2380 0.0102 0.2482  2 Re 2.50-2.63, 2 Tc 2.52
Re 0.7620 0.9898 0.7518  2 Re 2.50-2.63, 2 Tc 2.52

Results
Offset from the most stable computed form: 414.0 meV per atom
Space group: C2/m (12)
Calculated volume: 116.7 Å³/cell

---

Compound: HoThRe4
Source: Alexandria
Functional: PBE-GGA
Structure: relaxed

a b c (Å): 5.4834 5.4834 5.4834
angles (deg): 60.00 60.00 60.00
Last column: nearest neighbours and their distance in Å.
Atoms (fractional coordinates):
Re 0.6252 0.6252 0.1243  6 Re 2.74-2.75
Re 0.6252 0.1243 0.6252  6 Re 2.74-2.75
Re 0.6252 0.6252 0.6252  6 Re 2.74-2.75
Re 0.1243 0.6252 0.6252  6 Re 2.74-2.75
Ho 0.0000 0.0000 0.0000  12 Re 3.21, 4 Th 3.36
Th 0.2500 0.2500 0.2500  12 Re 3.22, 4 Ho 3.36

Results
Space group: F-43m (216)
Calculated volume: 116.6 Å³/cell

---

Compound: HoThZnRe
Source: Alexandria
Functional: PBE-GGA
Structure: relaxed

a b c (Å): 5.0258 5.0258 5.0258
angles (deg): 60.00 60.00 60.00
Last column: nearest neighbours and their distance in Å.
Atoms (fractional coordinates):
Re 0.0000 0.0000 0.0000  4 Ho 3.08, 4 Th 3.08
Zn 0.5000 0.5000 0.5000  4 Th 3.08, 4 Ho 3.08
Ho 0.7500 0.7500 0.7500  4 Zn 3.08, 4 Re 3.08
Th 0.2500 0.2500 0.2500  4 Re 3.08, 4 Zn 3.08

Results
Space group: F-43m (216)
Calculated volume: 89.8 Å³/cell

---

Compound: Ho2TiRe3
Source: Alexandria
Functional: PBE-GGA
Structure: relaxed

a b c (Å): 5.3788 5.3788 5.4975
angles (deg): 89.99 119.23 120.06
Last column: nearest neighbours and their distance in Å.
Atoms (fractional coordinates):
Ho 0.7558 0.3778 0.1336  9 Re 3.16-3.27, 3 Ti 3.16, 4 Ho 3.33-3.34
Ho 0.2442 0.6222 0.8664  9 Re 3.16-3.27, 3 Ti 3.16, 4 Ho 3.33-3.34
Ti 0.0000 0.0000 0.0000  6 Re 2.75
Re 0.5000 0.5000 0.5000  4 Re 2.69, 2 Ti 2.75
Re 0.0000 0.0000 0.5000  4 Re 2.69, 2 Ti 2.75
Re 0.5000 0.0000 0.5000  4 Re 2.69, 2 Ti 2.75

Results
Space group: R-3m (166)
Calculated volume: 113.7 Å³/cell

---

Compound: HoTi2Re
Source: Alexandria
Functional: PBE-GGA
Structure: relaxed

a b c (Å): 3.1899 3.1899 7.6064
angles (deg): 90.00 90.00 90.00
Last column: nearest neighbours and their distance in Å.
Atoms (fractional coordinates):
Re 0.5000 0.5000 0.0000  8 Ti 2.67
Ho 0.5000 0.5000 0.5000  4 Ho 3.19, 8 Ti 3.27
Ti 0.0000 0.0000 0.8120  4 Re 2.67, 1 Ti 2.86
Ti 0.0000 0.0000 0.1880  4 Re 2.67, 1 Ti 2.86

Results
Space group: P4/mmm (123)
Calculated volume: 77.4 Å³/cell

---

Compound: HoTmRe4
Source: Alexandria
Functional: PBE-GGA
Structure: relaxed

a b c (Å): 5.3966 5.3966 5.3966
angles (deg): 60.00 60.00 60.00
Last column: nearest neighbours and their distance in Å.
Atoms (fractional coordinates):
Re 0.6250 0.6250 0.1249  6 Re 2.70
Re 0.6250 0.1249 0.6250  6 Re 2.70
Re 0.6250 0.6250 0.6250  6 Re 2.70
Re 0.1249 0.6250 0.6250  6 Re 2.70
Tm 0.0000 0.0000 0.0000  12 Re 3.16, 4 Ho 3.30
Ho 0.2500 0.2500 0.2500  12 Re 3.16, 4 Tm 3.30

Results
Space group: F-43m (216)
Calculated volume: 111.1 Å³/cell

---

Compound: HoTmRe
Source: Alexandria
Functional: PBE-GGA
Structure: relaxed

a b c (Å): 4.6726 5.7029 6.2307
angles (deg): 81.82 68.34 83.46
Last column: nearest neighbours and their distance in Å.
Atoms (fractional coordinates):
Ho 0.3498 0.6560 0.7845  4 Re 3.01-3.10, 1 Tm 3.35
Ho 0.6502 0.3440 0.2155  4 Re 3.01-3.10, 1 Tm 3.35
Tm 0.0399 0.7830 0.3366  3 Re 2.78-3.05
Tm 0.9601 0.2170 0.6634  3 Re 2.78-3.05
Re 0.7043 0.8638 0.0203  1 Re 2.39
Re 0.2957 0.1362 0.9797  1 Re 2.39

Results
Space group: P-1 (2)
Calculated volume: 152.4 Å³/cell

---

Compound: HoTm2Re
Source: Alexandria
Functional: PBE-GGA
Structure: relaxed

a b c (Å): 3.1858 3.1858 11.3380
angles (deg): 81.92 81.92 60.00
Last column: nearest neighbours and their distance in Å.
Atoms (fractional coordinates):
Re 0.0000 0.0000 0.0000  2 Tm 2.68
Tm 0.0798 0.0798 0.7606  1 Re 2.68
Tm 0.9202 0.9202 0.2394  1 Re 2.68
Ho 0.5000 0.5000 0.5000  6 Ho 3.19, 6 Tm 3.45

Results
Space group: R-3m (166)
Calculated volume: 98.3 Å³/cell

---

Compound: HoV2Re
Source: Alexandria
Functional: PBE-GGA
Structure: relaxed

a b c (Å): 4.2427 4.2427 5.5224
angles (deg): 67.41 67.41 60.00
Last column: nearest neighbours and their distance in Å.
Atoms (fractional coordinates):
Re 0.0000 0.0000 0.0000  6 V 2.51
Ho 0.5000 0.5000 0.5000  8 V 3.01-3.12
V 0.2973 0.2973 0.1082  3 Re 2.51, 3 V 2.67
V 0.7027 0.7027 0.8918  3 Re 2.51, 3 V 2.67

Results
Space group: R-3m (166)
Calculated volume: 77.2 Å³/cell

---

Compound: HoVRe2
Source: Alexandria
Functional: PBE-GGA
Structure: relaxed

a b c (Å): 2.9750 2.9750 9.0504
angles (deg): 80.54 80.54 60.00
Last column: nearest neighbours and their distance in Å.
Atoms (fractional coordinates):
Re 0.7387 0.7387 0.7838  3 V 2.58
Re 0.2613 0.2613 0.2162  3 V 2.58
Ho 0.5000 0.5000 0.5000  6 Ho 2.97, 6 Re 3.05
V 0.0000 0.0000 0.0000  6 Re 2.58

Results
Space group: R-3m (166)
Calculated volume: 68.1 Å³/cell

---

Compound: Ho2Re3W
Source: Alexandria
Functional: PBE-GGA
Structure: relaxed

a b c (Å): 5.4285 5.4285 5.4408
angles (deg): 90.13 119.94 119.84
Last column: nearest neighbours and their distance in Å.
Atoms (fractional coordinates):
Ho 0.7513 0.3759 0.1273  9 Re 3.18-3.20, 3 W 3.18-3.19, 4 Ho 3.31-3.34
Ho 0.2487 0.6241 0.8727  9 Re 3.18-3.20, 3 W 3.18-3.19, 4 Ho 3.31-3.34
Re 0.5000 0.5000 0.5000  4 Re 2.71-2.72, 2 W 2.72
Re 0.0000 0.0000 0.5000  4 Re 2.71-2.72, 2 W 2.72
Re 0.5000 0.0000 0.5000  4 Re 2.71, 2 W 2.72
W 0.0000 0.0000 0.0000  6 Re 2.72

Results
Space group: C2/m (12)
Calculated volume: 113.6 Å³/cell

---

Compound: YHo2Re
Source: Alexandria
Functional: PBE-GGA
Structure: relaxed

a b c (Å): 3.2232 3.2232 11.4646
angles (deg): 81.92 81.92 60.00
Last column: nearest neighbours and their distance in Å.
Atoms (fractional coordinates):
Y 0.5000 0.5000 0.5000  6 Y 3.22, 6 Ho 3.51
Re 0.0000 0.0000 0.0000  2 Ho 2.68
Ho 0.0788 0.0788 0.7635  1 Re 2.68
Ho 0.9212 0.9212 0.2365  1 Re 2.68

Results
Space group: R-3m (166)
Calculated volume: 101.8 Å³/cell

---

Compound: YHoRe
Source: Alexandria
Functional: PBE-GGA
Structure: relaxed

a b c (Å): 3.1973 3.1973 14.4318
angles (deg): 90.00 90.00 90.00
Last column: nearest neighbours and their distance in Å.
Atoms (fractional coordinates):
Y 0.0000 0.5000 0.5959  8 Y 3.20-3.57
Y 0.5000 0.0000 0.4041  8 Y 3.20-3.57
Ho 0.5000 0.0000 0.8091  4 Re 3.07, 4 Ho 3.20
Ho 0.0000 0.5000 0.1909  4 Re 3.07, 4 Ho 3.20
Re 0.0000 0.5000 0.9527  4 Re 2.64
Re 0.5000 0.0000 0.0473  4 Re 2.64

Results
Space group: P4/nmm (129)
Calculated volume: 147.5 Å³/cell

---

Compound: YHoRe4
Source: Alexandria
Functional: PBE-GGA
Structure: relaxed

a b c (Å): 5.4164 5.4164 5.4164
angles (deg): 60.00 60.00 60.00
Last column: nearest neighbours and their distance in Å.
Atoms (fractional coordinates):
Y 0.2500 0.2500 0.2500  12 Re 3.18, 4 Ho 3.32
Re 0.6251 0.6251 0.1248  6 Re 2.71
Re 0.6251 0.1248 0.6251  6 Re 2.71
Re 0.6251 0.6251 0.6251  6 Re 2.71
Re 0.1248 0.6251 0.6251  6 Re 2.71
Ho 0.0000 0.0000 0.0000  12 Re 3.18, 4 Y 3.32

Results
Space group: F-43m (216)
Calculated volume: 112.4 Å³/cell

---

Compound: HoZn4Re
Source: Alexandria
Functional: PBE-GGA
Structure: relaxed

a b c (Å): 5.1198 5.1198 5.1198
angles (deg): 60.00 60.00 60.00
Last column: nearest neighbours and their distance in Å.
Atoms (fractional coordinates):
Re 0.0000 0.0000 0.0000  12 Zn 3.00, 4 Ho 3.14
Zn 0.6262 0.6262 0.1213  6 Zn 2.53-2.58
Zn 0.6262 0.1213 0.6262  6 Zn 2.53-2.58
Zn 0.6262 0.6262 0.6262  6 Zn 2.53-2.58
Zn 0.1213 0.6262 0.6262  6 Zn 2.53-2.58
Ho 0.2500 0.2500 0.2500  12 Zn 3.00, 4 Re 3.14

Results
Space group: F-43m (216)
Calculated volume: 94.9 Å³/cell

---

Compound: HoZrZnRe
Source: Alexandria
Functional: PBE-GGA
Structure: relaxed

a b c (Å): 4.8036 4.8036 4.8036
angles (deg): 60.00 60.00 60.00
Last column: nearest neighbours and their distance in Å.
Atoms (fractional coordinates):
Re 0.7500 0.7500 0.7500  4 Ho 2.94, 4 Zr 2.94
Zn 0.2500 0.2500 0.2500  4 Zr 2.94, 4 Ho 2.94
Ho 0.0000 0.0000 0.0000  4 Re 2.94, 4 Zn 2.94
Zr 0.5000 0.5000 0.5000  4 Zn 2.94, 4 Re 2.94

Results
Space group: F-43m (216)
Calculated volume: 78.4 Å³/cell

---

Compound: HoZrRe4
Source: Alexandria
Functional: PBE-GGA
Structure: relaxed

a b c (Å): 5.3571 5.3571 5.3571
angles (deg): 60.00 60.00 60.00
Last column: nearest neighbours and their distance in Å.
Atoms (fractional coordinates):
Re 0.6252 0.6252 0.1243  6 Re 2.67-2.68
Re 0.6252 0.1243 0.6252  6 Re 2.67-2.68
Re 0.6252 0.6252 0.6252  6 Re 2.67-2.68
Re 0.1243 0.6252 0.6252  6 Re 2.67-2.68
Ho 0.2500 0.2500 0.2500  12 Re 3.14, 4 Zr 3.28
Zr 0.0000 0.0000 0.0000  12 Re 3.14, 4 Ho 3.28

Results
Space group: F-43m (216)
Calculated volume: 108.7 Å³/cell

---

Compound: HoRh6
Source: Alexandria
Functional: PBE-GGA
Structure: relaxed

a b c (Å): 5.1864 8.4813 10.4143
angles (deg): 90.00 90.00 90.00
Last column: nearest neighbours and their distance in Å.
Atoms (fractional coordinates):
Ho 0.7500 0.2425 0.9394  7 Rh 2.90-3.09
Ho 0.2500 0.7575 0.0606  7 Rh 2.90-3.09
Ho 0.7500 0.7425 0.5606  7 Rh 2.90-3.09
Ho 0.2500 0.2575 0.4394  7 Rh 2.90-3.09
Rh 0.7500 0.6137 0.0202  7 Rh 2.60-2.85, 2 Ho 2.90
Rh 0.2500 0.3863 0.9798  7 Rh 2.60-2.85, 2 Ho 2.90
Rh 0.7500 0.1137 0.4798  7 Rh 2.60-2.85, 2 Ho 2.90
Rh 0.2500 0.8863 0.5202  7 Rh 2.60-2.85, 2 Ho 2.90
Rh 0.0057 0.4392 0.1932  9 Rh 2.53-2.78
Rh 0.5057 0.5608 0.8068  9 Rh 2.53-2.78
Rh 0.4943 0.9392 0.3068  9 Rh 2.53-2.78
Rh 0.9943 0.0608 0.6932  9 Rh 2.53-2.78
Rh 0.9943 0.5608 0.8068  9 Rh 2.53-2.78
Rh 0.4943 0.4392 0.1932  9 Rh 2.53-2.78
Rh 0.5057 0.0608 0.6932  9 Rh 2.53-2.78
Rh 0.0057 0.9392 0.3068  9 Rh 2.53-2.78
Rh 0.2500 0.1513 0.1567  8 Rh 2.60-2.78
Rh 0.7500 0.8487 0.8433  8 Rh 2.60-2.78
Rh 0.2500 0.6513 0.3433  8 Rh 2.60-2.78
Rh 0.7500 0.3487 0.6567  8 Rh 2.60-2.78
Rh 0.2500 0.8147 0.7675  8 Rh 2.56-2.73
Rh 0.7500 0.1853 0.2325  8 Rh 2.56-2.73
Rh 0.2500 0.3147 0.7325  8 Rh 2.56-2.73
Rh 0.7500 0.6853 0.2675  8 Rh 2.56-2.73
Rh 0.2500 0.5589 0.5812  6 Rh 2.60-2.91
Rh 0.7500 0.4411 0.4188  6 Rh 2.60-2.91
Rh 0.2500 0.0589 0.9188  6 Rh 2.60-2.91
Rh 0.7500 0.9411 0.0812  6 Rh 2.60-2.91

Results
Offset from the most stable computed form: 0.0 meV per atom
Space group: Pnma (62)
Calculated volume: 458.1 Å³/cell

---

Compound: HoRh
Source: Alexandria
Functional: PBE-GGA
Structure: relaxed

a b c (Å): 3.4110 3.4110 3.4110
angles (deg): 90.00 90.00 90.00
Last column: nearest neighbours and their distance in Å.
Atoms (fractional coordinates):
Rh 0.5000 0.5000 0.5000  8 Ho 2.95
Ho 0.0000 0.0000 0.0000  8 Rh 2.95

Results
Space group: Pm-3m (221)
Calculated volume: 39.7 Å³/cell

---

Compound: HoRh6
Source: Alexandria
Functional: PBE-GGA
Structure: relaxed

a b c (Å): 5.8243 5.8243 5.8243
angles (deg): 109.47 109.47 109.47
Last column: nearest neighbours and their distance in Å.
Atoms (fractional coordinates):
Ho 0.0000 0.0000 0.0000  24 Rh 3.76
Rh 0.2500 0.7500 0.5000  4 Rh 2.38
Rh 0.5000 0.7500 0.2500  4 Rh 2.38
Rh 0.2500 0.5000 0.7500  4 Rh 2.38
Rh 0.7500 0.2500 0.5000  4 Rh 2.38
Rh 0.5000 0.2500 0.7500  4 Rh 2.38
Rh 0.7500 0.5000 0.2500  4 Rh 2.38

Results
Offset from the most stable computed form: 726.6 meV per atom
Space group: Im-3m (229)
Calculated volume: 152.1 Å³/cell

---

Number 1: DFT formation energy 0.19 eV/atom, Fermi-level density of states 0.707 states/eV/atom, total moment 0.00 μB per formula unit. Number 2: DFT formation energy -0.09 eV/atom, Fermi-level density of states 1.974 states/eV/atom, total moment 0.00 μB per formula unit. Number 3: DFT formation energy -0.04 eV/atom, Fermi-level density of states 1.390 states/eV/atom, total moment 0.00 μB per formula unit. Number 4: DFT formation energy -0.24 eV/atom, Fermi-level density of states 0.831 states/eV/atom, total moment 0.01 μB per formula unit. Number 5: DFT formation energy -0.08 eV/atom, Fermi-level density of states 1.257 states/eV/atom, total moment 0.00 μB per formula unit. Number 6: DFT formation energy -0.22 eV/atom, Fermi-level density of states 1.253 states/eV/atom, total moment 0.00 μB per formula unit. Number 7: DFT formation energy 0.14 eV/atom, Fermi-level density of states 0.736 states/eV/atom, total moment 0.00 μB per formula unit. Number 8: DFT formation energy 0.75 eV/atom, Fermi-level density of states 1.279 states/eV/atom, total moment 0.05 μB per formula unit. Number 9: DFT formation energy 0.21 eV/atom, Fermi-level density of states 0.833 states/eV/atom, total moment 0.00 μB per formula unit. Number 10: DFT formation energy 0.34 eV/atom, Fermi-level density of states 1.209 states/eV/atom, total moment 0.00 μB per formula unit. Number 11: DFT formation energy -0.18 eV/atom, Fermi-level density of states 0.434 states/eV/atom, total moment 0.00 μB per formula unit. Number 12: DFT formation energy 0.80 eV/atom, Fermi-level density of states 1.407 states/eV/atom, total moment 0.30 μB per formula unit. Number 13: DFT formation energy 0.09 eV/atom, Fermi-level density of states 1.027 states/eV/atom, total moment 0.00 μB per formula unit. Number 14: DFT formation energy -0.19 eV/atom, Fermi-level density of states 1.273 states/eV/atom, total moment 0.00 μB per formula unit. Number 15: DFT formation energy -0.06 eV/atom, Fermi-level density of states 0.937 states/eV/atom, total moment 0.00 μB per formula unit. Number 16: DFT formation energy -0.12 eV/atom, Fermi-level density of states 1.083 states/eV/atom, total moment 0.00 μB per formula unit. Number 17: DFT formation energy -0.25 eV/atom, Fermi-level density of states 1.513 states/eV/atom, total moment 0.00 μB per formula unit. Number 18: DFT formation energy -0.23 eV/atom, Fermi-level density of states 1.482 states/eV/atom, total moment 0.00 μB per formula unit. Number 19: DFT formation energy -0.90 eV/atom, Fermi-level density of states 0.773 states/eV/atom, total moment 0.00 μB per formula unit. Number 20: DFT formation energy 0.50 eV/atom, Fermi-level density of states 1.116 states/eV/atom, total moment 0.00 μB per formula unit.